w:
First-principles (SCAN) data for a PBEsol-optimized structure of La2Be, as listed in Alexandria via LeMat-Bulk.

Computed properties:
- Volume: 83.5 Å³ per cell
- Total moment: 0.00 μB/atom
- DOS(E_F): 1.26 states/eV/atom

a = 4.9053 Å, b = 4.9053 Å, c = 4.9053 Å
α = 60.00°, β = 60.00°, γ = 60.00°
With the nearest neighbours (Å) after each atom.
Fractional coordinates of all 3 atoms:
La 0.2500 0.2500 0.2500  4 Be 3.00
La 0.7500 0.7500 0.7500  4 Be 3.00
Be 0.0000 0.0000 0.0000  8 La 3.00



x:
First-principles (SCAN) data for a PBEsol-optimized structure of La2Be, as listed in Alexandria via LeMat-Bulk.

Computed properties:
- Volume: 158.6 Å³ per cell
- Total moment: 0.00 μB/atom
- DOS(E_F): 1.00 states/eV/atom

a = 6.0043 Å, b = 6.0043 Å, c = 6.6607 Å
α = 90.00°, β = 90.00°, γ = 138.67°
With the nearest neighbours (Å) after each atom.
Fractional coordinates of all 6 atoms:
La 0.0275 0.9725 0.5000  4 Be 2.88-3.04, 1 La 3.20
La 0.2881 0.7119 0.3078  3 Be 2.99-3.11, 1 La 3.20
La 0.7119 0.2881 0.8078  3 Be 2.99-3.11, 1 La 3.20
La 0.9725 0.0275 0.0000  4 Be 2.88-3.04, 1 La 3.20
Be 0.3951 0.6049 0.7388  7 La 2.88-3.11
Be 0.6049 0.3951 0.2388  7 La 2.88-3.11



Energies relative to the minimum, kJ/mol of atoms: w 7.1; x 0.0



w:
First-principles (SCAN) data for a PBEsol-optimized structure of LaMn2Be, as listed in Alexandria via LeMat-Bulk.

Computed properties:
- Volume: 66.6 Å³ per cell
- Total moment: 1.46 μB/atom
- DOS(E_F): 0.80 states/eV/atom

a = 5.5191 Å, b = 5.5191 Å, c = 5.5191 Å
α = 41.48°, β = 41.48°, γ = 41.48°
With the nearest neighbours (Å) after each atom.
Fractional coordinates of all 4 atoms:
La 0.0000 0.0000 0.0000  8 Mn 3.01-3.05
Mn 0.2020 0.2020 0.2020  3 Be 2.32, 3 Mn 2.50
Mn 0.7980 0.7980 0.7980  3 Be 2.32, 3 Mn 2.50
Be 0.5000 0.5000 0.5000  6 Mn 2.32



x:
First-principles (SCAN) data for a PBEsol-optimized structure of LaMn2Be, as listed in Alexandria via LeMat-Bulk.

Computed properties:
- Volume: 65.9 Å³ per cell
- Total moment: 0.06 μB/atom
- DOS(E_F): 0.80 states/eV/atom

a = 5.6749 Å, b = 5.6749 Å, c = 5.6749 Å
α = 39.28°, β = 39.28°, γ = 39.28°
With the nearest neighbours (Å) after each atom.
Fractional coordinates of all 4 atoms:
La 0.0000 0.0000 0.0000  4 Be 2.96-3.16, 7 Mn 3.03-3.30
Mn 0.1931 0.1931 0.1931  3 Mn 2.22, 3 Be 2.33
Mn 0.5098 0.5098 0.5098  3 Mn 2.22, 3 Be 2.26
Be 0.8111 0.8111 0.8111  6 Mn 2.26-2.33



Energies relative to the minimum, kJ/mol of atoms: w 8.1; x 0.0



w:
First-principles (SCAN) data for a PBEsol-optimized structure of LaBeMo3, as listed in Alexandria via LeMat-Bulk.

Computed properties:
- Volume: 102.8 Å³ per cell
- Total moment: 0.00 μB/atom
- DOS(E_F): 1.40 states/eV/atom

a = 4.6846 Å, b = 4.6846 Å, c = 4.6846 Å
α = 90.00°, β = 90.00°, γ = 90.00°
With the nearest neighbours (Å) after each atom.
Fractional coordinates of all 5 atoms:
La 0.0000 0.0000 0.0000  6 Mo 2.34
Be 0.5000 0.5000 0.5000  12 Mo 3.31
Mo 0.0000 0.0000 0.5000  2 La 2.34
Mo 0.0000 0.5000 0.0000  2 La 2.34
Mo 0.5000 0.0000 0.0000  2 La 2.34



x:
First-principles (SCAN) data for a PBEsol-optimized structure of LaBeMo3, as listed in Alexandria via LeMat-Bulk.

Computed properties:
- Volume: 87.8 Å³ per cell
- Total moment: 0.00 μB/atom
- DOS(E_F): 1.32 states/eV/atom

a = 4.4451 Å, b = 4.4451 Å, c = 4.4451 Å
α = 90.00°, β = 90.00°, γ = 90.00°
With the nearest neighbours (Å) after each atom.
Fractional coordinates of all 5 atoms:
La 0.0000 0.0000 0.0000  12 Mo 3.14
Be 0.5000 0.5000 0.5000  6 Mo 2.22
Mo 0.0000 0.5000 0.5000  2 Be 2.22
Mo 0.5000 0.0000 0.5000  2 Be 2.22
Mo 0.5000 0.5000 0.0000  2 Be 2.22



Energies relative to the minimum, kJ/mol of atoms: w 160.7; x 0.0



w:
First-principles (SCAN) data for a PBEsol-optimized structure of La2BePb, as listed in Alexandria via LeMat-Bulk.

Computed properties:
- Volume: 111.5 Å³ per cell
- Total moment: 0.00 μB/atom
- DOS(E_F): 1.40 states/eV/atom

a = 9.9636 Å, b = 9.9636 Å, c = 9.9636 Å
α = 21.02°, β = 21.02°, γ = 21.02°
With the nearest neighbours (Å) after each atom.
Fractional coordinates of all 4 atoms:
La 0.2371 0.2371 0.2371  3 Be 2.94
La 0.7629 0.7629 0.7629  3 Be 2.94
Be 0.5000 0.5000 0.5000  6 La 2.94
Pb 0.0000 0.0000 0.0000  6 La 3.51, 6 Pb 3.64



x:
First-principles (SCAN) data for a PBEsol-optimized structure of La2BePb, as listed in Alexandria via LeMat-Bulk.

Computed properties:
- Volume: 108.7 Å³ per cell
- Total moment: 0.00 μB/atom
- DOS(E_F): 0.83 states/eV/atom

a = 5.4973 Å, b = 5.4973 Å, c = 5.4973 Å
α = 124.40°, β = 124.40°, γ = 82.54°
With the nearest neighbours (Å) after each atom.
Fractional coordinates of all 4 atoms:
La 0.2500 0.7500 0.5000  4 Pb 3.29, 4 Be 3.29, 4 La 3.63
La 0.7500 0.2500 0.5000  4 Pb 3.29, 4 Be 3.29, 4 La 3.63
Be 0.0000 0.0000 0.0000  8 La 3.29, 4 Pb 3.63
Pb 0.5000 0.5000 0.0000  8 La 3.29, 4 Be 3.63



y:
First-principles (SCAN) data for a PBEsol-optimized structure of La2BePb, as listed in Alexandria via LeMat-Bulk.

Computed properties:
- Volume: 117.6 Å³ per cell
- Total moment: 0.00 μB/atom
- DOS(E_F): 0.96 states/eV/atom

a = 3.6996 Å, b = 4.8862 Å, c = 6.5047 Å
α = 90.00°, β = 90.00°, γ = 90.00°
With the nearest neighbours (Å) after each atom.
Fractional coordinates of all 4 atoms:
La 0.0000 0.0000 0.0000  2 Pb 3.09-3.42, 4 Be 3.16
La 0.5000 0.5000 0.3502  1 Be 3.04, 4 Pb 3.27
Be 0.5000 0.5000 0.8833  5 La 3.04-3.16
Pb 0.0000 0.0000 0.5257  6 La 3.09-3.42



Energies relative to the minimum, kJ/mol of atoms: w 26.5; x 0.0; y 28.2



w:
First-principles (SCAN) data for a PBEsol-optimized structure of LaBe2Re, as listed in Alexandria via LeMat-Bulk.

Computed properties:
- Volume: 59.6 Å³ per cell
- Total moment: 0.00 μB/atom
- DOS(E_F): 0.56 states/eV/atom

a = 4.5234 Å, b = 4.5234 Å, c = 3.0739 Å
α = 92.32°, β = 92.32°, γ = 108.34°
With the nearest neighbours (Å) after each atom.
Fractional coordinates of all 4 atoms:
La 0.0000 0.0000 0.0000  2 Re 2.65, 8 Be 2.68-2.79
Be 0.0000 0.5000 0.5000  2 Be 2.65, 4 La 2.68-2.79, 4 Re 2.68-2.79
Be 0.5000 0.0000 0.5000  2 Be 2.65, 4 La 2.68-2.79, 4 Re 2.68-2.79
Re 0.5000 0.5000 0.0000  2 La 2.65, 8 Be 2.68-2.79



x:
First-principles (SCAN) data for a PBEsol-optimized structure of LaBe2Re, as listed in Alexandria via LeMat-Bulk.

Computed properties:
- Volume: 63.4 Å³ per cell
- Total moment: 0.00 μB/atom
- DOS(E_F): 0.60 states/eV/atom

a = 3.3936 Å, b = 5.9600 Å, c = 5.9600 Å
α = 31.75°, β = 90.00°, γ = 90.00°
With the nearest neighbours (Å) after each atom.
Fractional coordinates of all 4 atoms:
La 0.0000 0.0000 0.0000  5 Be 2.80-2.95
Be 0.0000 0.2445 0.2445  2 Be 2.05
Be 0.5000 0.3452 0.3452  2 Be 2.05, 2 Re 2.26
Re 0.5000 0.7082 0.7082  6 Be 2.26-2.39



Energies relative to the minimum, kJ/mol of atoms: w 45.0; x 0.0



w:
First-principles (SCAN) data for a PBEsol-optimized structure of LaScBe2, as listed in Alexandria via LeMat-Bulk.

Computed properties:
- Volume: 71.3 Å³ per cell
- Total moment: 0.36 μB/atom
- DOS(E_F): 0.72 states/eV/atom

a = 4.6550 Å, b = 4.6550 Å, c = 4.6550 Å
α = 60.00°, β = 60.00°, γ = 60.00°
With the nearest neighbours (Å) after each atom.
Fractional coordinates of all 4 atoms:
La 0.0000 0.0000 0.0000  4 Be 2.85, 4 Sc 2.85
Sc 0.7500 0.7500 0.7500  4 La 2.85, 4 Be 2.85
Be 0.2500 0.2500 0.2500  4 Be 2.85, 4 La 2.85
Be 0.5000 0.5000 0.5000  4 Sc 2.85, 4 Be 2.85



x:
First-principles (SCAN) data for a PBEsol-optimized structure of LaScBe2, as listed in Alexandria via LeMat-Bulk.

Computed properties:
- Volume: 74.5 Å³ per cell
- Total moment: 0.00 μB/atom
- DOS(E_F): 0.58 states/eV/atom

a = 5.3653 Å, b = 5.3653 Å, c = 5.3653 Å
α = 135.62°, β = 135.62°, γ = 64.56°
With the nearest neighbours (Å) after each atom.
Fractional coordinates of all 4 atoms:
La 0.0000 0.0000 0.0000  8 Be 2.87-3.04, 4 Sc 3.04
Sc 0.7500 0.2500 0.5000  8 Be 2.87-3.04, 4 La 3.04
Be 0.2500 0.7500 0.5000  4 Sc 2.87, 4 La 3.04, 4 Be 3.04
Be 0.5000 0.5000 0.0000  4 La 2.87, 4 Be 3.04, 4 Sc 3.04



Energies relative to the minimum, kJ/mol of atoms: w 3.1; x 0.0



w:
First-principles (SCAN) data for a PBEsol-optimized structure of LaBe3Se, as listed in Alexandria via LeMat-Bulk.

Computed properties:
- Volume: 124.8 Å³ per cell
- Total moment: 0.00 μB/atom
- DOS(E_F): 0.34 states/eV/atom

a = 4.9972 Å, b = 4.9972 Å, c = 4.9972 Å
α = 90.00°, β = 90.00°, γ = 90.00°
With the nearest neighbours (Å) after each atom.
Fractional coordinates of all 5 atoms:
La 0.0000 0.0000 0.0000  6 Be 2.50
Be 0.0000 0.0000 0.5000  2 La 2.50
Be 0.0000 0.5000 0.0000  2 La 2.50
Be 0.5000 0.0000 0.0000  2 La 2.50
Se 0.5000 0.5000 0.5000  12 Be 3.53



x:
First-principles (SCAN) data for a PBEsol-optimized structure of LaBe3Se, as listed in Alexandria via LeMat-Bulk.

Computed properties:
- Volume: 89.2 Å³ per cell
- Total moment: 0.00 μB/atom
- DOS(E_F): 0.60 states/eV/atom

a = 4.4676 Å, b = 4.4676 Å, c = 4.4676 Å
α = 90.00°, β = 90.00°, γ = 90.00°
With the nearest neighbours (Å) after each atom.
Fractional coordinates of all 5 atoms:
La 0.0000 0.0000 0.0000  12 Be 3.16
Be 0.0000 0.5000 0.5000  2 Se 2.23
Be 0.5000 0.0000 0.5000  2 Se 2.23
Be 0.5000 0.5000 0.0000  2 Se 2.23
Se 0.5000 0.5000 0.5000  6 Be 2.23



Energies relative to the minimum, kJ/mol of atoms: w 133.8; x 0.0



w:
First-principles (SCAN) data for a PBEsol-optimized structure of LaBeSe, as listed in Alexandria via LeMat-Bulk.

Computed properties:
- Volume: 79.5 Å³ per cell
- Total moment: 0.00 μB/atom
- DOS(E_F): 0.84 states/eV/atom

a = 4.8260 Å, b = 4.8260 Å, c = 4.8260 Å
α = 60.00°, β = 60.00°, γ = 60.00°
With the nearest neighbours (Å) after each atom.
Fractional coordinates of all 3 atoms:
La 0.0000 0.0000 0.0000  4 Se 2.96, 4 Be 2.96
Be 0.7500 0.7500 0.7500  4 La 2.96
Se 0.2500 0.2500 0.2500  4 La 2.96



x:
First-principles (SCAN) data for a PBEsol-optimized structure of LaBeSe, as listed in Alexandria via LeMat-Bulk.

Computed properties:
- Volume: 64.6 Å³ per cell
- Total moment: 0.00 μB/atom
- DOS(E_F): 0.49 states/eV/atom

a = 4.5032 Å, b = 4.5032 Å, c = 4.5032 Å
α = 60.00°, β = 60.00°, γ = 60.00°
With the nearest neighbours (Å) after each atom.
Fractional coordinates of all 3 atoms:
La 0.0000 0.0000 0.0000  4 Be 2.76
Be 0.7500 0.7500 0.7500  4 Se 2.76, 4 La 2.76
Se 0.5000 0.5000 0.5000  4 Be 2.76



Energies relative to the minimum, kJ/mol of atoms: w 8.3; x 0.0